Computed, not measured: crystalline Tb3Nd6Sm2Cd at its relaxed geometry at the PBE level of DFT.

Summary:
theoretical density = 7.395 Mg/m³
E = -4.41 eV per atom
crystal system = monoclinic
ΔH_f (0 K) = -0.202 kcal/mol of atoms
size of the total moment = 0.0 Bohr magnetons per cell

Cell: 6.2446 6.2446 11.8654 Å, 95.06 95.06 120.06°
Sites, in units of the cell vectors:
Tb1 0.0000 0.0000 0.0000
Tb2 0.3336 0.6664 0.0000
Tb3 0.6664 0.3336 0.0000
Nd1 0.0886 0.4177 0.2510
Nd2 0.2532 0.2532 0.7502
Nd3 0.4177 0.0886 0.2510
Nd4 0.5823 0.9114 0.7490
Nd5 0.7468 0.7468 0.2498
Nd6 0.9114 0.5823 0.7490
Sm1 0.1670 0.8330 0.5000
Sm2 0.8330 0.1670 0.5000
Cd1 0.5000 0.5000 0.5000



Computed, not measured: crystalline NaMgNb3 at its relaxed geometry at the PBE level of DFT.

Summary:
theoretical density = 4.598 Mg/m³
energy relative to the lowest polymorph listed for this composition = 0.0 meV per atom
E = -4.79 eV per atom
crystal system = cubic
ΔH_f (0 K) = 42.364 kcal/mol of atoms
size of the total moment = 0.0 Bohr magnetons per cell

Cell: 4.9012 4.9012 4.9012 Å, 90.00 90.00 90.00°
Sites, in units of the cell vectors:
Na1 0.0000 0.0000 0.0000
Mg1 0.5000 0.5000 0.5000
Nb1 0.0000 0.5000 0.5000
Nb2 0.5000 0.0000 0.5000
Nb3 0.5000 0.5000 0.0000



Computed, not measured: crystalline PrNdZnRh at its relaxed geometry at the PBE level of DFT.

Summary:
theoretical density = 7.905 Mg/m³
energy relative to the lowest polymorph listed for this composition = 45.3 meV per atom
E = -5.00 eV per atom
crystal system = cubic
ΔH_f (0 K) = -10.521 kcal/mol of atoms
size of the total moment = 0.0 Bohr magnetons per cell

Cell: 5.1263 5.1263 5.1263 Å, 60.00 60.00 60.00°
Sites, in units of the cell vectors:
Pr1 0.0000 0.0000 0.0000
Nd1 0.5000 0.5000 0.5000
Zn1 0.7500 0.7500 0.7500
Rh1 0.2500 0.2500 0.2500



Computed, not measured: crystalline TaSnHgN2 at its relaxed geometry at the PBE level of DFT.

Summary:
theoretical density = 8.924 Mg/m³
E = -4.34 eV per atom
crystal system = tetragonal
size of the total moment = 1.7 Bohr magnetons per cell
E_form (uncorrected) = 2.22 eV per atom

Cell: 4.2064 4.2064 5.5556 Å, 90.00 90.00 90.00°
Sites, in units of the cell vectors:
Ta1 0.0000 0.0000 0.0000
Sn1 0.5000 0.5000 0.0000
Hg1 0.0000 0.0000 0.5000
N1 0.0000 0.5000 0.5000
N2 0.5000 0.0000 0.5000



Computed, not measured: crystalline HoAl2Pt at its relaxed geometry at the PBE level of DFT.

Summary:
theoretical density = 9.058 Mg/m³
E = -5.50 eV per atom
crystal system = orthorhombic
ΔH_f (0 K) = -22.370 kcal/mol of atoms
size of the total moment = 0.0 Bohr magnetons per cell

Cell: 15.7840 6.9421 5.5407 Å, 90.00 90.00 90.00°
Sites, in units of the cell vectors:
Ho1 0.1062 0.2500 0.2375
Ho2 0.1436 0.7500 0.4725
Ho3 0.3564 0.2500 0.9725
Ho4 0.3938 0.7500 0.7375
Ho5 0.6062 0.2500 0.2625
Ho6 0.6436 0.7500 0.0275
Ho7 0.8564 0.2500 0.5275
Ho8 0.8938 0.7500 0.7625
Al1 0.0353 0.0534 0.7468
Al2 0.0353 0.4466 0.7468
Al3 0.2127 0.5554 0.9616
Al4 0.2127 0.9446 0.9616
Al5 0.2873 0.0554 0.4616
Al6 0.2873 0.4446 0.4616
Al7 0.4647 0.5534 0.2468
Al8 0.4647 0.9466 0.2468
Al9 0.5353 0.0534 0.7532
Al10 0.5353 0.4466 0.7532
Al11 0.7127 0.5554 0.5384
Al12 0.7127 0.9446 0.5384
Al13 0.7873 0.0554 0.0384
Al14 0.7873 0.4446 0.0384
Al15 0.9647 0.5534 0.2532
Al16 0.9647 0.9466 0.2532
Pt1 0.0717 0.7500 0.9913
Pt2 0.1768 0.2500 0.7208
Pt3 0.3232 0.7500 0.2208
Pt4 0.4283 0.2500 0.4913
Pt5 0.5717 0.7500 0.5087
Pt6 0.6768 0.2500 0.7792
Pt7 0.8232 0.7500 0.2792
Pt8 0.9283 0.2500 0.0087



Computed, not measured: crystalline La4Tc at its relaxed geometry at the PBE level of DFT.

Summary:
theoretical density = 6.830 Mg/m³
energy relative to the lowest polymorph listed for this composition = 99.1 meV per atom
E = -5.97 eV per atom
crystal system = tetragonal
ΔH_f (0 K) = 0.990 kcal/mol of atoms
size of the total moment = 0.0 Bohr magnetons per cell

Cell: 6.8463 6.8463 6.8463 Å, 94.07 94.07 149.08°
Sites, in units of the cell vectors:
La1 0.0716 0.7470 0.8186
La2 0.2530 0.0716 0.3246
La3 0.7470 0.9284 0.6754
La4 0.9284 0.2530 0.1814
Tc1 0.5000 0.5000 0.0000



Computed, not measured: crystalline Fe3Br at its relaxed geometry at the PBE level of DFT.

Summary:
theoretical density = 7.348 Mg/m³
energy relative to the lowest polymorph listed for this composition = 356.2 meV per atom
E = -6.03 eV per atom
crystal system = cubic
size of the total moment = 16.1 Bohr magnetons per cell
E_form (uncorrected) = 0.74 eV per atom

Cell: 4.8180 4.8180 4.8180 Å, 90.00 90.00 90.00°
Sites, in units of the cell vectors:
Fe1 0.0000 0.2500 0.5000
Fe2 0.0000 0.7500 0.5000
Fe3 0.2500 0.5000 0.0000
Fe4 0.5000 0.0000 0.2500
Fe5 0.5000 0.0000 0.7500
Fe6 0.7500 0.5000 0.0000
Br1 0.0000 0.0000 0.0000
Br2 0.5000 0.5000 0.5000



Computed, not measured: crystalline LiMoPt2 at its relaxed geometry at the PBE level of DFT.

Summary:
theoretical density = 13.931 Mg/m³
energy relative to the lowest polymorph listed for this composition = 172.4 meV per atom
E = -6.48 eV per atom
crystal system = tetragonal
ΔH_f (0 K) = -6.298 kcal/mol of atoms
size of the total moment = 1.0 Bohr magnetons per cell

Cell: 4.6958 4.6958 4.6958 Å, 130.33 130.33 72.87°
Sites, in units of the cell vectors:
Li1 0.0000 0.0000 0.0000
Mo1 0.5000 0.5000 0.0000
Pt1 0.2500 0.7500 0.5000
Pt2 0.7500 0.2500 0.5000



Computed, not measured: crystalline LaAgHg2 at its relaxed geometry at the PBE level of DFT.

Summary:
theoretical density = 10.875 Mg/m³
E = -2.48 eV per atom
crystal system = cubic
ΔH_f (0 K) = -8.767 kcal/mol of atoms
size of the total moment = 0.0 Bohr magnetons per cell

Cell: 5.1916 5.1916 5.1916 Å, 60.00 60.00 60.00°
Sites, in units of the cell vectors:
La1 0.0000 0.0000 0.0000
Ag1 0.5000 0.5000 0.5000
Hg1 0.2500 0.2500 0.2500
Hg2 0.7500 0.7500 0.7500



Computed, not measured: crystalline RbAsH3 at its relaxed geometry at the PBE level of DFT.

Summary:
theoretical density = 2.980 Mg/m³
energy relative to the lowest polymorph listed for this composition = 0.0 meV per atom
E = -3.25 eV per atom
crystal system = monoclinic
size of the total moment = 0.0 Bohr magnetons per cell

Cell: 4.8319 5.5194 6.9051 Å, 90.00 98.58 90.00°
Sites, in units of the cell vectors:
Rb1 0.0196 0.2500 0.2755
Rb2 0.9804 0.7500 0.7245
As1 0.4449 0.2500 0.9427
As2 0.5551 0.7500 0.0573
H1 0.2675 0.7500 0.1326
H2 0.4876 0.0291 0.5488
H3 0.4876 0.4709 0.5488
H4 0.5124 0.5291 0.4512
H5 0.5124 0.9709 0.4512
H6 0.7325 0.2500 0.8674



Computed, not measured: crystalline Cd2AsRu at its relaxed geometry at the PBE level of DFT.

Summary:
theoretical density = 9.296 Mg/m³
E = -3.66 eV per atom
crystal system = tetragonal
ΔH_f (0 K) = 6.500 kcal/mol of atoms
size of the total moment = 0.0 Bohr magnetons per cell

Cell: 5.3780 5.3780 5.3780 Å, 136.95 136.95 62.51°
Sites, in units of the cell vectors:
Cd1 0.2500 0.7500 0.5000
Cd2 0.7500 0.2500 0.5000
As1 0.0000 0.0000 0.0000
Ru1 0.5000 0.5000 0.0000



Computed, not measured: crystalline RbCdInTe3 at its relaxed geometry at the PBE level of DFT.

Summary:
theoretical density = 4.884 Mg/m³
E = -2.86 eV per atom
crystal system = monoclinic
size of the total moment = 0.0 Bohr magnetons per cell
E_form (uncorrected) = -0.52 eV per atom

Cell: 9.6618 4.4436 11.6045 Å, 90.00 108.34 90.00°
Sites, in units of the cell vectors:
Rb1 0.2272 0.2500 0.2245
Rb2 0.7728 0.7500 0.7755
Cd1 0.3540 0.7500 0.9159
Cd2 0.6460 0.2500 0.0841
In1 0.1092 0.2500 0.6377
In2 0.8908 0.7500 0.3623
Te1 0.1051 0.2500 0.8729
Te2 0.2019 0.7500 0.5221
Te3 0.4998 0.2500 0.8245
Te4 0.5002 0.7500 0.1755
Te5 0.7981 0.2500 0.4779
Te6 0.8949 0.7500 0.1271



Computed, not measured: crystalline TiCdSbAs2 at its relaxed geometry at the PBE level of DFT.

Summary:
theoretical density = 4.832 Mg/m³
E = -3.35 eV per atom
crystal system = tetragonal
size of the total moment = 0.1 Bohr magnetons per cell
E_form (uncorrected) = 1.09 eV per atom

Cell: 5.3257 5.3257 5.2324 Å, 90.00 90.00 90.00°
Sites, in units of the cell vectors:
Ti1 0.0000 0.0000 0.0000
Cd1 0.5000 0.5000 0.0000
Sb1 0.5000 0.5000 0.5000
As1 0.0000 0.5000 0.5000
As2 0.5000 0.0000 0.5000



Computed, not measured: crystalline YZn2 at its relaxed geometry at the PBE level of DFT.

Summary:
theoretical density = 5.991 Mg/m³
E = -3.30 eV per atom
crystal system = hexagonal
ΔH_f (0 K) = -6.732 kcal/mol of atoms
size of the total moment = 0.0 Bohr magnetons per cell

Cell: 4.8622 4.8622 5.9489 Å, 90.00 90.00 120.00°
Sites, in units of the cell vectors:
Y1 0.3333 0.6667 0.2500
Y2 0.6667 0.3333 0.7500
Zn1 0.0000 0.0000 0.0000
Zn2 0.0000 0.0000 0.5000
Zn3 0.3333 0.6667 0.7500
Zn4 0.6667 0.3333 0.2500



Computed, not measured: crystalline Sn3Pb6Au at its relaxed geometry at the PBE level of DFT.

Summary:
theoretical density = 10.040 Mg/m³
E = -3.73 eV per atom
crystal system = monoclinic
ΔH_f (0 K) = 0.568 kcal/mol of atoms
size of the total moment = 0.0 Bohr magnetons per cell

Cell: 9.2240 6.6989 13.1313 Å, 90.00 132.92 90.00°
Sites, in units of the cell vectors:
Sn1 0.0000 0.0000 0.0000
Sn2 0.0000 0.5000 0.5000
Sn3 0.2758 0.2457 0.7661
Sn4 0.2758 0.2543 0.2661
Sn5 0.7242 0.7457 0.7339
Sn6 0.7242 0.7543 0.2339
Pb1 0.1120 0.7279 0.2594
Pb2 0.1120 0.7721 0.7594
Pb3 0.2480 0.5980 0.0676
Pb4 0.2480 0.9020 0.5676
Pb5 0.3983 0.1175 0.0723
Pb6 0.3983 0.3825 0.5723
Pb7 0.6017 0.6175 0.4277
Pb8 0.6017 0.8825 0.9277
Pb9 0.7520 0.0980 0.4324
Pb10 0.7520 0.4020 0.9324
Pb11 0.8880 0.2279 0.2406
Pb12 0.8880 0.2721 0.7406
Au1 0.5000 0.0000 0.5000
Au2 0.5000 0.5000 0.0000



Computed, not measured: crystalline BiH8Ir2 at its relaxed geometry at the PBE level of DFT.

Summary:
theoretical density = 10.282 Mg/m³
E = -4.21 eV per atom
crystal system = monoclinic
size of the total moment = 0.0 Bohr magnetons per cell

Cell: 3.4776 3.4776 8.1009 Å, 93.17 93.17 95.78°
Sites, in units of the cell vectors:
Bi1 0.0000 0.0000 0.0000
H1 0.0085 0.5704 0.3200
H2 0.2985 0.2985 0.4907
H3 0.4296 0.9915 0.6800
H4 0.4804 0.4804 0.8861
H5 0.5196 0.5196 0.1139
H6 0.5704 0.0085 0.3200
H7 0.7015 0.7015 0.5093
H8 0.9915 0.4296 0.6800
Ir1 0.4991 0.4991 0.6835
Ir2 0.5009 0.5009 0.3165



Computed, not measured: crystalline Ca4BiSe2Br at its relaxed geometry at the PBE level of DFT.

Summary:
theoretical density = 4.294 Mg/m³
E = -4.18 eV per atom
crystal system = tetragonal
size of the total moment = 0.0 Bohr magnetons per cell
E_form (uncorrected) = -1.61 eV per atom

Cell: 7.5747 7.5747 7.5747 Å, 132.07 132.07 70.13°
Sites, in units of the cell vectors:
Ca1 0.0000 0.5000 0.5000
Ca2 0.2465 0.2465 0.0000
Ca3 0.5000 0.0000 0.5000
Ca4 0.7535 0.7535 0.0000
Bi1 0.0000 0.0000 0.0000
Se1 0.2500 0.7500 0.5000
Se2 0.7500 0.2500 0.5000
Br1 0.5000 0.5000 0.0000



Computed, not measured: crystalline ZrAlSi3 at its relaxed geometry at the PBE level of DFT.

Summary:
theoretical density = 4.066 Mg/m³
E = -5.62 eV per atom
crystal system = cubic
size of the total moment = 0.0 Bohr magnetons per cell
E_form (uncorrected) = 0.10 eV per atom

Cell: 6.2834 6.2834 6.2834 Å, 90.00 90.00 90.00°
Sites, in units of the cell vectors:
Zr1 0.0000 0.0000 0.5000
Zr2 0.0000 0.5000 0.0000
Zr3 0.5000 0.0000 0.0000
Al1 0.0000 0.5000 0.5000
Al2 0.5000 0.0000 0.5000
Al3 0.5000 0.5000 0.0000
Si1 0.0000 0.0000 0.0000
Si2 0.2922 0.2922 0.2922
Si3 0.2922 0.2922 0.7078
Si4 0.2922 0.7078 0.2922
Si5 0.2922 0.7078 0.7078
Si6 0.7078 0.2922 0.2922
Si7 0.7078 0.2922 0.7078
Si8 0.7078 0.7078 0.2922
Si9 0.7078 0.7078 0.7078



Computed, not measured: crystalline Ac4CePt5 at its relaxed geometry at the PBE level of DFT.

Summary:
theoretical density = 11.587 Mg/m³
E = -6.39 eV per atom
crystal system = tetragonal
ΔH_f (0 K) = -26.179 kcal/mol of atoms
size of the total moment = 0.6 Bohr magnetons per cell

Cell: 7.5234 7.5234 7.5234 Å, 99.62 99.62 131.73°
Sites, in units of the cell vectors:
Ac1 0.0975 0.2987 0.3962
Ac2 0.2987 0.9025 0.2012
Ac3 0.7013 0.0975 0.7988
Ac4 0.9025 0.7013 0.6038
Ce1 0.5000 0.5000 0.0000
Pt1 0.0000 0.0000 0.0000
Pt2 0.2123 0.5952 0.8076
Pt3 0.4048 0.2123 0.6171
Pt4 0.5952 0.7877 0.3829
Pt5 0.7877 0.4048 0.1924



Computed, not measured: crystalline Sc3AuN at its relaxed geometry at the PBE level of DFT.

Summary:
theoretical density = 6.376 Mg/m³
E = -7.08 eV per atom
crystal system = trigonal
size of the total moment = 0.0 Bohr magnetons per cell
E_form (uncorrected) = -0.96 eV per atom

Cell: 6.5262 6.5262 6.5262 Å, 56.39 56.39 56.39°
Sites, in units of the cell vectors:
Sc1 0.0055 0.5810 0.1599
Sc2 0.1599 0.0055 0.5810
Sc3 0.4190 0.8401 0.9945
Sc4 0.5810 0.1599 0.0055
Sc5 0.8401 0.9945 0.4190
Sc6 0.9945 0.4190 0.8401
Au1 0.3893 0.3893 0.3893
Au2 0.6107 0.6107 0.6107
N1 0.1673 0.1673 0.1673
N2 0.8327 0.8327 0.8327



Computed, not measured: crystalline RbMg at its relaxed geometry at the PBE level of DFT.

Summary:
theoretical density = 1.906 Mg/m³
E = -0.98 eV per atom
crystal system = tetragonal
ΔH_f (0 K) = 7.002 kcal/mol of atoms
size of the total moment = 0.0 Bohr magnetons per cell

Cell: 4.0386 4.0386 5.8634 Å, 90.00 90.00 90.00°
Sites, in units of the cell vectors:
Rb1 0.0000 0.0000 0.0000
Mg1 0.5000 0.5000 0.5000



Computed, not measured: crystalline Re2B4Se at its relaxed geometry at the PBE level of DFT.

Summary:
theoretical density = 9.275 Mg/m³
E = -6.05 eV per atom
crystal system = tetragonal
size of the total moment = 1.1 Bohr magnetons per cell
E_form (uncorrected) = 1.82 eV per atom

Cell: 6.2323 6.2323 6.2323 Å, 142.64 142.64 53.87°
Sites, in units of the cell vectors:
Re1 0.1241 0.1241 0.0000
Re2 0.8759 0.8759 0.0000
B1 0.0000 0.5000 0.5000
B2 0.3072 0.3072 0.0000
B3 0.5000 0.0000 0.5000
B4 0.6928 0.6928 0.0000
Se1 0.5000 0.5000 0.0000



Computed, not measured: crystalline SmBC2 at its relaxed geometry at the PBE level of DFT.

Summary:
theoretical density = 7.340 Mg/m³
energy relative to the lowest polymorph listed for this composition = 1105.4 meV per atom
E = -6.33 eV per atom
crystal system = trigonal
ΔH_f (0 K) = 26.088 kcal/mol of atoms
size of the total moment = 0.0 Bohr magnetons per cell

Cell: 4.8118 4.8118 4.8118 Å, 40.23 40.23 40.23°
Sites, in units of the cell vectors:
Sm1 0.0000 0.0000 0.0000
B1 0.5000 0.5000 0.5000
C1 0.2001 0.2001 0.2001
C2 0.7999 0.7999 0.7999



Computed, not measured: crystalline LaTm2Bi at its relaxed geometry at the PBE level of DFT.

Summary:
theoretical density = 9.542 Mg/m³
energy relative to the lowest polymorph listed for this composition = 0.0 meV per atom
E = -4.79 eV per atom
crystal system = tetragonal
ΔH_f (0 K) = -8.161 kcal/mol of atoms
size of the total moment = 0.0 Bohr magnetons per cell

Cell: 4.9220 4.9220 4.9261 Å, 90.00 90.00 90.00°
Sites, in units of the cell vectors:
La1 0.0000 0.0000 0.0000
Tm1 0.0000 0.5000 0.5000
Tm2 0.5000 0.0000 0.5000
Bi1 0.5000 0.5000 0.0000